DFT (PBE) results for a relaxed TiIn3 crystal.

Cell: 5.979 5.979 5.979 Å, 148.67 63.20 126.63°
Fractional coordinates of all 4 atoms:
Ti (0.000, 0.000, 0.000)
In (0.411, 0.677, 0.735)
In (0.537, 0.037, 0.500)
In (0.942, 0.677, 0.265)

Values from the calculation:
Energy of formation   -0.04 eV/f.u.



DFT (PBE) results for a relaxed Ti8In5 crystal.

Cell: 10.000 10.000 10.000 Å, 90.00 90.00 90.00°
Fractional coordinates of all 52 atoms:
Ti (0.000, 0.000, 0.358)
Ti (0.000, 0.000, 0.642)
Ti (0.000, 0.358, 0.000)
Ti (0.000, 0.642, 0.000)
Ti (0.097, 0.097, 0.097)
Ti (0.097, 0.903, 0.903)
Ti (0.139, 0.500, 0.500)
Ti (0.169, 0.169, 0.519)
Ti (0.169, 0.481, 0.831)
Ti (0.169, 0.519, 0.169)
Ti (0.169, 0.831, 0.481)
Ti (0.170, 0.170, 0.830)
Ti (0.170, 0.830, 0.170)
Ti (0.358, 0.000, 0.000)
Ti (0.481, 0.169, 0.831)
Ti (0.481, 0.831, 0.169)
Ti (0.500, 0.139, 0.500)
Ti (0.500, 0.500, 0.139)
Ti (0.500, 0.500, 0.861)
Ti (0.500, 0.861, 0.500)
Ti (0.519, 0.169, 0.169)
Ti (0.519, 0.831, 0.831)
Ti (0.642, 0.000, 0.000)
Ti (0.830, 0.170, 0.170)
Ti (0.830, 0.830, 0.830)
Ti (0.831, 0.169, 0.481)
Ti (0.831, 0.481, 0.169)
Ti (0.831, 0.519, 0.831)
Ti (0.831, 0.831, 0.519)
Ti (0.861, 0.500, 0.500)
Ti (0.903, 0.097, 0.903)
Ti (0.903, 0.903, 0.097)
In (0.027, 0.309, 0.309)
In (0.027, 0.691, 0.691)
In (0.309, 0.027, 0.309)
In (0.309, 0.309, 0.027)
In (0.309, 0.691, 0.973)
In (0.309, 0.973, 0.691)
In (0.342, 0.342, 0.342)
In (0.342, 0.658, 0.658)
In (0.349, 0.349, 0.651)
In (0.349, 0.651, 0.349)
In (0.651, 0.349, 0.349)
In (0.651, 0.651, 0.651)
In (0.658, 0.342, 0.658)
In (0.658, 0.658, 0.342)
In (0.691, 0.027, 0.691)
In (0.691, 0.309, 0.973)
In (0.691, 0.691, 0.027)
In (0.691, 0.973, 0.309)
In (0.973, 0.309, 0.691)
In (0.973, 0.691, 0.309)

Values from the calculation:
Energy of formation   -1.43 eV/f.u.